Model A:
VASP calculation (GGA-PBE) on crystalline Ce2Cd3Pb at its relaxed geometry.

Unit cell a=3.488 b=5.134 c=8.895 alpha=90.00 beta=90.00 gamma=90.00
Atoms (fractional coordinates):
Ce: 0.000 0.500 0.000
Ce: 0.000 0.000 0.499
Cd: 0.500 0.000 0.170
Cd: 0.500 0.000 0.845
Cd: 0.500 0.500 0.322
Pb: 0.500 0.500 0.663

Properties
The total magnetization comes out at 2.5 μB per formula unit.

=====

Model B:
VASP calculation (GGA-PBE) on crystalline Ce2Cd3Pb at its relaxed geometry.

Unit cell a=6.208 b=6.208 c=9.523 alpha=102.11 beta=102.11 gamma=110.89
Atoms (fractional coordinates):
Ce: 0.250 0.750 0.500
Ce: 0.753 0.753 0.000
Ce: 0.750 0.250 0.500
Ce: 0.247 0.247 0.000
Cd: 0.673 0.164 0.837
Cd: 0.836 0.327 0.163
Cd: 0.327 0.836 0.163
Cd: 0.164 0.673 0.837
Cd: 0.837 0.837 0.674
Cd: 0.163 0.163 0.326
Pb: 0.334 0.334 0.668
Pb: 0.666 0.666 0.332

Properties
The total magnetization comes out at 2.9 μB per formula unit.

=====

Stability comparison, relative energies in meV/atom: model A 18; model B 0